[1]
Density functional theory data (GGA-PBEsol) for BaHgMo2 after structural relaxation.

```
4
Lattice="4.4728 0.0000 0.0000 0.0000 4.9576 0.0000 -0.8604 0.0000 5.1138" Properties=species:S:1:pos:R:3 pbc="T T T"
Ba 0.0000 0.0000 0.0000
Hg 1.8062 0.0000 2.5569
Mo 0.5094 2.4788 2.9827
Mo 3.1031 2.4788 2.1310
```

- electronic total energy (eV/atom) = -5.609
- ρ (Mg/m³) = 7.76
- DFT formation energy (meV/atom) = 954

[2]
Density functional theory data (GGA-PBEsol) for SiIN2 after structural relaxation.

```
4
Lattice="1.5058 0.8694 6.2816 -1.5058 0.8694 6.2816 0.0000 -1.7388 6.2816" Properties=species:S:1:pos:R:3 pbc="T T T"
Si 0.0000 0.0000 0.0000
I 0.0000 0.0000 9.4224
N 0.0000 0.0000 7.2074
N 0.0000 0.0000 11.6374
```

- electronic total energy (eV/atom) = -6.002
- ρ (Mg/m³) = 6.16

[3]
Density functional theory data (GGA-PBEsol) for TbAgTe2 after structural relaxation.

```
8
Lattice="6.9199 0.0000 0.0000 0.0000 6.9199 0.0000 0.0000 0.0000 4.7126" Properties=species:S:1:pos:R:3 pbc="T T T"
Tb 0.0000 3.4600 0.8340
Tb 3.4600 0.0000 3.8786
Ag 0.0000 0.0000 0.0000
Ag 3.4600 3.4600 0.0000
Te 1.4034 2.0565 3.2900
Te 2.0565 5.5165 1.4226
Te 4.8634 1.4034 1.4226
Te 5.5165 4.8634 3.2900
```

- electronic total energy (eV/atom) = -4.735
- ρ (Mg/m³) = 7.68

[4]
Density functional theory data (GGA-PBEsol) for RbScZn3 after structural relaxation.

```
5
Lattice="5.3280 0.0000 0.0000 0.0000 5.3280 0.0000 0.0000 0.0000 5.3280" Properties=species:S:1:pos:R:3 pbc="T T T"
Rb 0.0000 0.0000 0.0000
Sc 2.6640 2.6640 2.6640
Zn 0.0000 0.0000 2.6640
Zn 0.0000 2.6640 0.0000
Zn 2.6640 0.0000 0.0000
```

- electronic total energy (eV/atom) = -1.189
- ρ (Mg/m³) = 3.59
- DFT formation energy (meV/atom) = 1286

[5]
Density functional theory data (GGA-PBEsol) for Sc5Cu after structural relaxation.

```
6
Lattice="5.4922 -1.6517 0.0000 5.4922 1.6517 0.0000 -2.8982 0.0000 7.0278" Properties=species:S:1:pos:R:3 pbc="T T T"
Sc 0.0000 0.0000 0.0000
Sc 3.0444 0.0000 1.4226
Sc 2.1151 0.0000 4.4758
Sc 5.9711 0.0000 2.5520
Sc 5.0418 0.0000 5.6052
Cu -1.4491 0.0000 3.5139
```

- electronic total energy (eV/atom) = -6.273
- ρ (Mg/m³) = 3.75
- DFT formation energy (meV/atom) = -46

[6]
Density functional theory data (GGA-PBEsol) for Ba3PrF9 after structural relaxation.

```
13
Lattice="4.1054 0.0000 0.0000 -2.0347 3.7821 0.0000 -0.0754 -2.3055 14.2450" Properties=species:S:1:pos:R:3 pbc="T T T"
Ba 0.0000 0.0000 0.0000
Ba -0.0673 0.1978 10.5592
Ba 2.0596 1.2766 3.6778
Pr 1.9750 -0.8491 6.9300
F 0.0051 -0.0350 2.6050
F 0.0095 0.0646 5.5862
F -0.0679 0.1513 8.0194
F -0.0601 0.1704 13.2343
F 0.0117 2.5759 4.6017
F 1.9819 -1.1018 9.3820
F 2.0553 1.3091 0.9420
F 2.0110 1.5103 6.8058
F 1.9872 1.5144 11.4602
```

- electronic total energy (eV/atom) = -6.135
- ρ (Mg/m³) = 5.43